# 1
Computed, not measured: VF after structural relaxation at the PBE with a Hubbard U level of DFT.

Lattice parameters (Å, degrees): 8.6637 8.6637 3.0778 90.00 90.00 120.00
Closest atoms and distances in Å follow each position.
Atoms (fractional coordinates):
1 V 0.1725 0.7327 0.2500  3 F 2.10-2.11
2 V 0.2673 0.4398 0.2500  3 F 2.10-2.11
3 V 0.4398 0.1725 0.7500  3 F 2.10-2.11
4 V 0.5602 0.8275 0.2500  3 F 2.10-2.11
5 V 0.7327 0.5602 0.7500  3 F 2.10-2.11
6 V 0.8275 0.2673 0.7500  3 F 2.10-2.11
7 F 0.0105 0.7372 0.7500  3 V 2.10-2.11
8 F 0.2628 0.2733 0.7500  3 V 2.10-2.11
9 F 0.2733 0.0105 0.2500  3 V 2.10-2.11
10 F 0.7267 0.9895 0.7500  3 V 2.10-2.11
11 F 0.7372 0.7267 0.2500  3 V 2.10-2.11
12 F 0.9895 0.2628 0.2500  3 V 2.10-2.11

The value obtained for the energy above the most stable polymorph in this dataset is 28 meV per atom. The value obtained for the calculated density is 3.48 Mg/m³. As for the symmetry: P6_3/m, No. 176. For the volume, the calculation gives 33.35 Å³/f.u.

# 2
Computed, not measured: VF after structural relaxation at the PBE with a Hubbard U level of DFT.

Lattice parameters (Å, degrees): 3.4488 3.4488 3.4488 60.00 60.00 60.00
Closest atoms and distances in Å follow each position.
Atoms (fractional coordinates):
1 V 0.0000 0.0000 0.0000  4 F 2.11
2 F 0.2500 0.2500 0.2500  4 V 2.11

The value obtained for the energy above the most stable polymorph in this dataset is 515 meV per atom. The value obtained for the calculated density is 4.00 Mg/m³. As for the symmetry: F-43m, No. 216. For the volume, the calculation gives 29.01 Å³/f.u.

# 3
Computed, not measured: VF4 after structural relaxation at the PBE with a Hubbard U level of DFT.

Lattice parameters (Å, degrees): 4.9639 9.5202 3.0877 90.00 90.00 90.00
Closest atoms and distances in Å follow each position.
Atoms (fractional coordinates):
1 V 0.0000 0.0000 0.0000  6 F 1.77-1.98
2 V 0.5000 0.5000 0.0000  6 F 1.77-1.98
3 F 0.1612 0.0990 0.5000  2 V 1.98
4 F 0.2275 0.3801 0.0000  1 V 1.77
5 F 0.2725 0.8801 0.0000  1 V 1.77
6 F 0.3388 0.5990 0.5000  2 V 1.98
7 F 0.6612 0.4010 0.5000  2 V 1.98
8 F 0.7275 0.1199 0.0000  1 V 1.77
9 F 0.7725 0.6199 0.0000  1 V 1.77
10 F 0.8388 0.9010 0.5000  2 V 1.98

The value obtained for the calculated density is 2.89 Mg/m³. As for the symmetry: Pbam, No. 55. For the volume, the calculation gives 72.96 Å³/f.u.

# 4
Computed, not measured: V5F11 after structural relaxation at the PBE with a Hubbard U level of DFT.

Lattice parameters (Å, degrees): 8.0927 14.5704 10.8813 90.00 129.32 90.00
Closest atoms and distances in Å follow each position.
Atoms (fractional coordinates):
1 V 0.0031 0.1624 0.1589  6 F 2.07-2.22
2 V 0.0031 0.3376 0.6589  6 F 2.07-2.22
3 V 0.2573 0.6778 0.1983  6 F 2.06-2.16
4 V 0.2573 0.8222 0.6983  6 F 2.06-2.16
5 V 0.2619 0.1670 0.5476  6 F 2.09-2.17
6 V 0.2619 0.3330 0.0476  6 F 2.09-2.17
7 V 0.4559 0.0037 0.2315  6 F 1.92-2.11
8 V 0.4559 0.4963 0.7315  6 F 1.92-2.11
9 V 0.4825 0.1701 0.9237  6 F 2.09-2.16
10 V 0.4825 0.3299 0.4237  6 F 2.09-2.16
11 V 0.5175 0.6701 0.5763  6 F 2.09-2.16
12 V 0.5175 0.8299 0.0763  6 F 2.09-2.16
13 V 0.5441 0.5037 0.2685  6 F 1.92-2.11
14 V 0.5441 0.9963 0.7685  6 F 1.92-2.11
15 V 0.7381 0.6670 0.9524  6 F 2.09-2.17
16 V 0.7381 0.8330 0.4524  6 F 2.09-2.17
17 V 0.7427 0.1778 0.3017  6 F 2.06-2.16
18 V 0.7427 0.3222 0.8017  6 F 2.06-2.16
19 V 0.9969 0.6624 0.3411  6 F 2.07-2.22
20 V 0.9969 0.8376 0.8411  6 F 2.07-2.22
21 F 0.0039 0.6034 0.1646  3 V 2.13-2.14
22 F 0.0039 0.8966 0.6646  3 V 2.13-2.14
23 F 0.0054 0.2483 0.5041  3 V 2.12-2.17
24 F 0.0054 0.2517 0.0041  3 V 2.12-2.17
25 F 0.2135 0.0702 0.1795  2 V 1.92-2.07
26 F 0.2135 0.4298 0.6795  2 V 1.92-2.07
27 F 0.2420 0.2400 0.3687  3 V 2.09-2.15
28 F 0.2420 0.2600 0.8687  3 V 2.09-2.15
29 F 0.2503 0.7384 0.3736  3 V 2.12-2.15
30 F 0.2503 0.7616 0.8736  3 V 2.12-2.15
31 F 0.2764 0.5813 0.5370  3 V 2.06-2.22
32 F 0.2764 0.9187 0.0370  3 V 2.06-2.22
33 F 0.3028 0.0799 0.7262  3 V 2.09-2.16
34 F 0.3028 0.4201 0.2262  3 V 2.09-2.16
35 F 0.3187 0.5790 0.0960  2 V 1.93-2.06
36 F 0.3187 0.9210 0.5960  2 V 1.93-2.06
37 F 0.4814 0.5823 0.8792  2 V 1.94-2.09
38 F 0.4814 0.9177 0.3792  2 V 1.94-2.09
39 F 0.4913 0.0971 0.1009  3 V 2.11-2.16
40 F 0.4913 0.4029 0.6009  3 V 2.11-2.16
41 F 0.4954 0.2411 0.7598  3 V 2.11-2.13
42 F 0.4954 0.2589 0.2598  3 V 2.11-2.13
43 F 0.5046 0.7411 0.7402  3 V 2.11-2.13
44 F 0.5046 0.7589 0.2402  3 V 2.11-2.13
45 F 0.5087 0.5971 0.3991  3 V 2.11-2.16
46 F 0.5087 0.9029 0.8991  3 V 2.11-2.16
47 F 0.5186 0.0823 0.6208  2 V 1.94-2.09
48 F 0.5186 0.4177 0.1208  2 V 1.94-2.09
49 F 0.6813 0.0790 0.4040  2 V 1.93-2.06
50 F 0.6813 0.4210 0.9040  2 V 1.93-2.06
51 F 0.6972 0.5799 0.7738  3 V 2.09-2.16
52 F 0.6972 0.9201 0.2738  3 V 2.09-2.16
53 F 0.7236 0.0813 0.9630  3 V 2.06-2.22
54 F 0.7236 0.4187 0.4630  3 V 2.06-2.22
55 F 0.7497 0.2384 0.1264  3 V 2.12-2.15
56 F 0.7497 0.2616 0.6264  3 V 2.12-2.15
57 F 0.7580 0.7400 0.1313  3 V 2.09-2.15
58 F 0.7580 0.7600 0.6313  3 V 2.09-2.15
59 F 0.7865 0.5702 0.3205  2 V 1.92-2.07
60 F 0.7865 0.9298 0.8205  2 V 1.92-2.07
61 F 0.9946 0.7483 0.9959  3 V 2.12-2.17
62 F 0.9946 0.7517 0.4959  3 V 2.12-2.17
63 F 0.9961 0.1034 0.3354  3 V 2.13-2.14
64 F 0.9961 0.3966 0.8354  3 V 2.13-2.14

The value obtained for the calculated density is 3.10 Mg/m³. As for the symmetry: P2_1/c, No. 14. For the volume, the calculation gives 248.15 Å³/f.u.

# 5
Computed, not measured: VF after structural relaxation at the PBE with a Hubbard U level of DFT.

Lattice parameters (Å, degrees): 5.0726 5.9642 7.7118 90.00 90.00 90.00
Closest atoms and distances in Å follow each position.
Atoms (fractional coordinates):
1 V 0.2407 0.0087 0.2544  4 F 2.13-2.23
2 V 0.2481 0.4180 0.0169  3 F 2.13-2.27
3 V 0.2519 0.5820 0.5169  3 F 2.13-2.27
4 V 0.2593 0.9913 0.7544  4 F 2.13-2.23
5 V 0.7407 0.4913 0.7456  4 F 2.13-2.23
6 V 0.7481 0.0820 0.9831  3 F 2.13-2.27
7 V 0.7519 0.9180 0.4831  3 F 2.13-2.27
8 V 0.7593 0.5087 0.2456  4 F 2.13-2.23
9 F 0.1007 0.6953 0.1604  3 V 2.13-2.16
10 F 0.1221 0.6399 0.7931  4 V 2.16-2.27
11 F 0.3779 0.3601 0.2931  4 V 2.16-2.27
12 F 0.3993 0.3047 0.6604  3 V 2.13-2.16
13 F 0.6007 0.8047 0.8396  3 V 2.13-2.16
14 F 0.6221 0.8601 0.2069  4 V 2.16-2.27
15 F 0.8779 0.1399 0.7069  4 V 2.16-2.27
16 F 0.8993 0.1953 0.3396  3 V 2.13-2.16

The value obtained for the energy above the most stable polymorph in this dataset is 4 meV per atom. The value obtained for the calculated density is 3.98 Mg/m³. As for the symmetry: P2_12_12_1, No. 19. For the volume, the calculation gives 29.16 Å³/f.u.

# 6
Computed, not measured: VF4 after structural relaxation at the PBE with a Hubbard U level of DFT.

Lattice parameters (Å, degrees): 5.5988 5.3804 4.8764 90.00 90.00 90.00
Closest atoms and distances in Å follow each position.
Atoms (fractional coordinates):
1 V 0.0000 0.0000 0.0000  6 F 1.76-1.97
2 V 0.5000 0.0000 0.5000  6 F 1.76-1.97
3 F 0.0000 0.2872 0.1747  1 V 1.76
4 F 0.0000 0.7128 0.8253  1 V 1.76
5 F 0.2500 0.1221 0.7500  2 V 1.97
6 F 0.2500 0.8779 0.2500  2 V 1.97
7 F 0.5000 0.2872 0.3253  1 V 1.76
8 F 0.5000 0.7128 0.6747  1 V 1.76
9 F 0.7500 0.1221 0.7500  2 V 1.97
10 F 0.7500 0.8779 0.2500  2 V 1.97

The value obtained for the calculated density is 2.87 Mg/m³. As for the symmetry: Pmna, No. 53. For the volume, the calculation gives 73.45 Å³/f.u.

# 7
Computed, not measured: VF after structural relaxation at the PBE with a Hubbard U level of DFT.

Lattice parameters (Å, degrees): 4.2201 4.2201 4.4354 90.00 90.00 120.00
Closest atoms and distances in Å follow each position.
Atoms (fractional coordinates):
1 V 0.3333 0.6667 0.2500  5 F 2.22-2.44
2 V 0.6667 0.3333 0.7500  5 F 2.22-2.44
3 F 0.3333 0.6667 0.7500  5 V 2.22-2.44
4 F 0.6667 0.3333 0.2500  5 V 2.22-2.44

The value obtained for the energy above the most stable polymorph in this dataset is 449 meV per atom. The value obtained for the calculated density is 3.40 Mg/m³. As for the symmetry: P6_3/mmc, No. 194. For the volume, the calculation gives 34.20 Å³/f.u.

# 8
Computed, not measured: VF4 after structural relaxation at the PBE with a Hubbard U level of DFT.

Lattice parameters (Å, degrees): 7.5692 5.0874 7.5345 90.00 103.71 90.00
Closest atoms and distances in Å follow each position.
Atoms (fractional coordinates):
1 V 0.1979 0.2477 0.3097  3 F 1.75-1.96
2 V 0.1979 0.2523 0.8097  3 F 1.75-1.96
3 V 0.8021 0.7477 0.1903  3 F 1.75-1.96
4 V 0.8021 0.7523 0.6903  3 F 1.75-1.96
5 F 0.0346 0.5525 0.2170  2 V 1.99-2.00
6 F 0.0346 0.9475 0.7170  2 V 1.99-2.00
7 F 0.1833 0.1447 0.0550  2 V 1.96-1.97
8 F 0.1833 0.3553 0.5550  2 V 1.96-1.97
9 F 0.3037 0.5488 0.8964  1 V 1.76
10 F 0.3037 0.9512 0.3964  1 V 1.76
11 F 0.3822 0.0455 0.8082  1 V 1.75
12 F 0.3822 0.4545 0.3082  1 V 1.75
13 F 0.6178 0.5455 0.6918  1 V 1.75
14 F 0.6178 0.9545 0.1918  1 V 1.75
15 F 0.6963 0.0488 0.6036  1 V 1.76
16 F 0.6963 0.4512 0.1036  1 V 1.76
17 F 0.8167 0.6447 0.4450  2 V 1.96-1.97
18 F 0.8167 0.8553 0.9450  2 V 1.96-1.97
19 F 0.9654 0.0525 0.2830  2 V 1.99-2.00
20 F 0.9654 0.4475 0.7830  2 V 1.99-2.00

The value obtained for the calculated density is 2.99 Mg/m³. As for the symmetry: P2_1/c, No. 14. For the volume, the calculation gives 70.47 Å³/f.u.

# 9
Computed, not measured: VW2F after structural relaxation at the PBE with a Hubbard U level of DFT.

Lattice parameters (Å, degrees): 5.6611 5.6611 5.6611 106.11 106.11 116.42
Closest atoms and distances in Å follow each position.
Atoms (fractional coordinates):
1 V 0.0000 0.0000 0.0000  8 W 2.88-3.05, 2 F 2.98
2 V 0.7500 0.2500 0.5000  8 W 2.88-3.05, 2 F 2.98
3 W 0.1994 0.6250 0.0744  2 F 2.21
4 W 0.3750 0.4494 0.5744  2 F 2.21
5 W 0.5506 0.1250 0.9256  2 F 2.21
6 W 0.8750 0.8006 0.4256  2 F 2.21
7 F 0.2500 0.7500 0.5000  4 W 2.21
8 F 0.5000 0.5000 0.0000  4 W 2.21

The value obtained for the energy above the most stable polymorph in this dataset is 0 meV per atom. The value obtained for the calculated density is 10.52 Mg/m³. As for the symmetry: I-42d, No. 122. For the volume, the calculation gives 69.05 Å³/f.u.

# 10
Computed, not measured: VWF3 after structural relaxation at the PBE with a Hubbard U level of DFT.

Lattice parameters (Å, degrees): 4.3674 4.3674 4.3674 90.00 90.00 90.00
Closest atoms and distances in Å follow each position.
Atoms (fractional coordinates):
1 V 0.0000 0.0000 0.0000  12 F 3.09
2 W 0.5000 0.5000 0.5000  6 F 2.18
3 F 0.0000 0.5000 0.5000  2 W 2.18
4 F 0.5000 0.0000 0.5000  2 W 2.18
5 F 0.5000 0.5000 0.0000  2 W 2.18

The value obtained for the calculated density is 5.82 Mg/m³. As for the symmetry: Pm-3m, No. 221. For the volume, the calculation gives 83.30 Å³/f.u.

# 11
Computed, not measured: VW3F after structural relaxation at the PBE with a Hubbard U level of DFT.

Lattice parameters (Å, degrees): 4.8275 4.8275 4.8275 90.00 90.00 90.00
Closest atoms and distances in Å follow each position.
Atoms (fractional coordinates):
1 V 0.0000 0.0000 0.0000  6 W 2.41
2 W 0.0000 0.0000 0.5000  2 V 2.41
3 W 0.0000 0.5000 0.0000  2 V 2.41
4 W 0.5000 0.0000 0.0000  2 V 2.41
5 F 0.5000 0.5000 0.5000  12 W 3.41

The value obtained for the energy above the most stable polymorph in this dataset is 574 meV per atom. The value obtained for the calculated density is 9.17 Mg/m³. As for the symmetry: Pm-3m, No. 221. For the volume, the calculation gives 112.51 Å³/f.u.

# 12
Computed, not measured: VW2F after structural relaxation at the PBE with a Hubbard U level of DFT.

Lattice parameters (Å, degrees): 4.6211 4.6211 4.6211 60.00 60.00 60.00
Closest atoms and distances in Å follow each position.
Atoms (fractional coordinates):
1 V 0.0000 0.0000 0.0000  8 W 2.83
2 W 0.2500 0.2500 0.2500  4 F 2.83, 4 V 2.83
3 W 0.7500 0.7500 0.7500  4 F 2.83, 4 V 2.83
4 F 0.5000 0.5000 0.5000  8 W 2.83

The value obtained for the energy above the most stable polymorph in this dataset is 143 meV per atom. The value obtained for the calculated density is 10.41 Mg/m³. As for the symmetry: Fm-3m, No. 225. For the volume, the calculation gives 69.78 Å³/f.u.

| no. | final energy (eV per atom) |
| --- | --- |
| 1 | -5.8620 |
| 2 | -5.3749 |
| 3 | -5.6044 |
| 4 | -6.2648 |
| 5 | -5.8858 |
| 6 | -5.6368 |
| 7 | -5.4413 |
| 8 | -5.6225 |
| 9 | -4.9181 |
| 10 | -5.0614 |
| 11 | -4.0449 |
| 12 | -4.7754 |